Compound: TbAgHgRh
Source: the Alexandria database
Functional: PBE
Structure: optimized geometry

Cell and atoms, written as POSCAR:
```
TbAgHgRh
1.0
4.8386 0.0000 0.0000
2.4193 4.1904 0.0000
2.4193 1.3968 3.9507
Rh Hg Ag Tb
1 1 1 1
Cartesian
7.2580 4.1904 2.9631
4.8386 2.7936 1.9754
2.4193 1.3968 0.9877
0.0000 0.0000 0.0000
```

Results
- total DFT energy (no corrections) (eV per atom) = -4.117
- energy relative to the elements (kJ/mol of formula units) = -129
- Fermi-level density of states (states/eV/atom) = 0.61